(1)
Here is a geometry-optimized FeNi2Ge structure from the Alexandria database. Energies are from PBE-GGA.

## Properties
- total moment (μB/cell) = 2.5
- energy (eV per atom) = -6.33
- D(E_F) (states/eV/atom) = 0.772
- ΔH_f (0 K) (meV per atom) = -166

abc: 3.590 3.590 3.633
angles: 90.00 90.00 90.00
Space group P4/mmm (No. 123)
One atom of each set of equivalent atoms:
1 Fe 0.000 0.000 0.000
2 Ni 0.000 0.500 0.500
3 Ge 0.500 0.500 0.000


(2)
Here is a geometry-optimized Ca2CO structure from the Alexandria database. Energies are from PBE-GGA.

## Properties
- total moment (μB/cell) = 8.0
- raw formation energy (eV/atom) = -0.395
- energy (eV per atom) = -4.94
- D(E_F) (states/eV/atom) = 0.584

abc: 6.161 6.161 6.161
angles: 90.00 90.00 90.00
Space group Fm-3m (No. 225)
One atom of each set of equivalent atoms:
1 Ca 0.250 0.250 0.250
2 C 0.000 0.000 0.000
3 O 0.000 0.000 0.500


(3)
Here is a geometry-optimized NaAgHg2Pd structure from the Alexandria database. Energies are from PBE-GGA.

## Properties
- total moment (μB/cell) = 0.0
- energy (eV per atom) = -1.97
- D(E_F) (states/eV/atom) = 0.266
- ΔH_f (0 K) (meV per atom) = 20

abc: 5.255 5.255 5.251
angles: 90.00 90.00 90.00
Space group P4/mmm (No. 123)
One atom of each set of equivalent atoms:
1 Na 0.000 0.000 0.000
2 Ag 0.500 0.500 0.000
3 Hg 0.000 0.500 0.500
4 Pd 0.500 0.500 0.500


(4)
Here is a geometry-optimized AcAg2Br6 structure from the Alexandria database. Energies are from PBE-GGA.

## Properties
- total moment (μB/cell) = 0.0
- raw formation energy (eV/atom) = -0.993
- energy (eV per atom) = -3.20
- D(E_F) (states/eV/atom) = 0.263

abc: 13.693 5.138 9.826
angles: 90.00 109.63 90.00
Space group C2/m (No. 12)
One atom of each set of equivalent atoms:
1 Ac 0.000 0.000 0.000
2 Ag 0.181 0.000 0.608
3 Br 0.023 0.000 0.709
4 Br 0.143 0.500 0.085
5 Br 0.203 0.500 0.574


(5)
Here is a geometry-optimized CuOsRu2 structure from the Alexandria database. Energies are from PBE-GGA.

## Properties
- total moment (μB/cell) = 0.0
- energy (eV per atom) = -8.15
- D(E_F) (states/eV/atom) = 1.383
- ΔH_f (0 K) (meV per atom) = 321

abc: 3.729 3.729 7.872
angles: 90.00 90.00 90.00
Space group I-4m2 (No. 119)
One atom of each set of equivalent atoms:
1 Cu 0.000 0.000 0.000
2 Os 0.000 0.500 0.750
3 Ru 0.000 0.000 0.500
4 Ru 0.000 0.500 0.250


(6)
Here is a geometry-optimized Ti4FeSn structure from the Alexandria database. Energies are from PBE-GGA.

## Properties
- total moment (μB/cell) = 0.0
- energy (eV per atom) = -7.55
- D(E_F) (states/eV/atom) = 0.828
- ΔH_f (0 K) (meV per atom) = -204

abc: 2.982 2.982 11.223
angles: 90.00 90.00 90.00
Space group P4/mmm (No. 123)
One atom of each set of equivalent atoms:
1 Ti 0.000 0.000 0.131
2 Ti 0.500 0.500 0.301
3 Fe 0.500 0.500 0.000
4 Sn 0.000 0.000 0.500